(1)
Here is a relaxed structure of Tb2AsPPt6 from the Alexandria database. Energies are from PBE.

Cell: 5.5655 8.4113 8.3023 Å, 90.00 90.00 90.00°
Fractional positions:
Tb 0.5000 0.7415 0.2516
Tb 0.0000 0.2585 0.7516
Tb 0.5000 0.7415 0.7484
Tb 0.0000 0.2585 0.2484
As 0.0000 0.7133 0.5000
As 0.5000 0.2867 0.0000
P 0.5000 0.2543 0.5000
P 0.0000 0.7457 0.0000
Pt 0.5000 0.1286 0.2474
Pt 0.5000 0.1286 0.7526
Pt 0.0000 0.8714 0.2526
Pt 0.0000 0.8714 0.7474
Pt 0.2484 0.0067 0.5000
Pt 0.7516 0.0067 0.5000
Pt 0.2524 0.4753 0.5000
Pt 0.7476 0.4753 0.5000
Pt 0.7524 0.5247 0.0000
Pt 0.2476 0.5247 0.0000
Pt 0.2516 0.9933 0.0000
Pt 0.7484 0.9933 0.0000

**Electronic total energy**: -6.441 eV/atom
**Energy of formation**: -0.88 eV per atom
**DOS(E_F)**: 7.993 states/eV/cell

(2)
Here is a relaxed structure of Mg2Tl2F from the Alexandria database. Energies are from PBE.

Cell: 3.9959 3.9959 8.8635 Å, 76.97 76.97 90.00°
Fractional positions:
Tl 0.4120 0.4120 0.1760
Tl 0.5880 0.5880 0.8240
Mg 0.7500 0.2500 0.5000
Mg 0.2500 0.7500 0.5000
F 0.0000 0.0000 0.0000

**ΔE to the lowest computed polymorph**: 416 meV per atom
**Electronic total energy**: -2.289 eV/atom
**Formation energy from raw total energies**: -1.7 eV/f.u.
**DOS(E_F)**: 3.084 states/eV/cell

(3)
Here is a relaxed structure of Zn2FeSe from the Alexandria database. Energies are from PBE.

Cell: 5.3095 5.3095 5.3095 Å, 139.60 139.93 58.21°
Last column: magnetic moment on the atom in μB.
Fractional positions:
Fe 0.7500 0.2500 0.5000  2.57
Se 0.2500 0.7500 0.5000  0.07
Zn 0.0010 0.0010 0.0000  -0.04
Zn 0.4990 0.4990 0.0000  -0.04

**Electronic total energy**: -3.410 eV/atom
**Formation energy from raw total energies**: 0.9 eV/f.u.
**DOS(E_F)**: 2.633 states/eV/cell